P) {
  "formula": "CsMo3Cl",
  "functional": "PBE-GGA",
  "state": "optimized geometry",
  "dos_at_fermi_per_ev_cell": 13.8,
  "cell": [[-1.971, -2.228, -4.033], [-0.913, -4.111, 2.717], [-4.516, 1.803, 1.211]],
  "species": ["Cs", "Mo", "Mo", "Mo", "Cl"],
  "frac_coords": [[0.000, 0.000, 0.000], [0.000, 0.500, 0.000], [0.000, 0.000, 0.500], [0.500, 0.000, 0.000], [0.500, 0.500, 0.500]]
}

---

Q) {
  "formula": "CsMo3Cl",
  "functional": "PBE-GGA",
  "state": "optimized geometry",
  "dos_at_fermi_per_ev_cell": 6.7,
  "cell": [[-4.064, -1.679, 1.659], [1.382, -4.370, -1.038], [1.914, -0.410, 4.273]],
  "species": ["Cs", "Mo", "Mo", "Mo", "Cl"],
  "frac_coords": [[0.500, 0.500, 0.500], [0.000, 0.500, 0.000], [0.000, 0.000, 0.500], [0.500, 0.000, 0.000], [0.000, 0.000, 0.000]]
}

---

The least stable of them is P).

---

P) {
  "formula": "Cs3MoCl8",
  "functional": "PBE-GGA",
  "state": "optimized geometry",
  "dos_at_fermi_per_ev_cell": 14.4,
  "cell": [[-8.282, -4.303, -0.968], [4.827, -9.066, -0.993], [-2.829, 3.342, 9.343]],
  "species": ["Cs", "Cs", "Cs", "Cs", "Cs", "Cs", "Mo", "Mo", "Cl", "Cl", "Cl", "Cl", "Cl", "Cl", "Cl", "Cl", "Cl", "Cl", "Cl", "Cl", "Cl", "Cl", "Cl", "Cl"],
  "frac_coords": [[0.700, 0.693, 0.847], [0.700, 0.153, 0.307], [0.700, 0.153, 0.847], [0.200, 0.307, 0.153], [0.200, 0.847, 0.693], [0.200, 0.847, 0.153], [0.152, 0.333, 0.667], [0.652, 0.667, 0.333], [0.007, 0.118, 0.559], [0.007, 0.441, 0.882], [0.007, 0.441, 0.559], [0.507, 0.882, 0.441], [0.507, 0.559, 0.118], [0.507, 0.559, 0.441], [0.799, 0.452, 0.226], [0.799, 0.774, 0.548], [0.799, 0.774, 0.226], [0.299, 0.548, 0.774], [0.299, 0.226, 0.452], [0.299, 0.226, 0.774], [0.645, 0.333, 0.667], [0.145, 0.667, 0.333], [0.956, 0.000, 0.000], [0.456, 0.000, 0.000]]
}

---

Q) {
  "formula": "Cs3MoCl8",
  "functional": "PBE-GGA",
  "state": "optimized geometry",
  "dos_at_fermi_per_ev_cell": 18.9,
  "cell": [[7.641, 0.000, 0.000], [0.000, 7.641, 0.000], [-3.821, -3.821, 7.382]],
  "species": ["Cs", "Cs", "Cs", "Mo", "Cl", "Cl", "Cl", "Cl", "Cl", "Cl", "Cl", "Cl"],
  "frac_coords": [[0.750, 0.250, 0.500], [0.500, 0.500, 0.000], [0.250, 0.750, 0.500], [0.000, 0.000, 0.000], [0.298, 0.298, 0.203], [0.298, 0.905, 0.203], [0.095, 0.702, 0.797], [0.095, 0.095, 0.797], [0.905, 0.905, 0.203], [0.905, 0.298, 0.203], [0.702, 0.095, 0.797], [0.702, 0.702, 0.797]]
}

---

The least stable of them is Q).

---

P) {
  "formula": "CsRb2MoCl6",
  "functional": "PBE-GGA",
  "state": "optimized geometry",
  "cell": [[7.328, 0.000, 0.000], [0.000, 9.228, 0.000], [0.000, 0.000, 11.229]],
  "species": ["Cs", "Cs", "Rb", "Rb", "Rb", "Rb", "Mo", "Mo", "Cl", "Cl", "Cl", "Cl", "Cl", "Cl", "Cl", "Cl", "Cl", "Cl", "Cl", "Cl"],
  "frac_coords": [[0.000, 0.671, 0.500], [0.500, 0.329, 0.000], [0.500, 0.840, 0.200], [0.000, 0.160, 0.700], [0.500, 0.840, 0.800], [0.000, 0.160, 0.300], [0.500, 0.179, 0.500], [0.000, 0.821, 0.000], [0.500, 0.183, 0.280], [0.500, 0.183, 0.720], [0.000, 0.817, 0.220], [0.000, 0.817, 0.780], [0.268, 0.983, 0.500], [0.732, 0.983, 0.500], [0.257, 0.363, 0.500], [0.743, 0.363, 0.500], [0.757, 0.637, 0.000], [0.243, 0.637, 0.000], [0.232, 0.017, 0.000], [0.768, 0.017, 0.000]]
}

---

Q) {
  "formula": "CsRb2MoCl6",
  "functional": "PBE-GGA",
  "state": "optimized geometry",
  "dos_at_fermi_per_ev_cell": 0.0,
  "cell": [[-2.899, 1.065, -7.428], [-3.032, -7.450, 0.115], [-7.819, -1.184, -1.474]],
  "species": ["Cs", "Mo", "Rb", "Rb", "Cl", "Cl", "Cl", "Cl", "Cl", "Cl"],
  "frac_coords": [[0.000, 0.000, 0.000], [0.500, 0.500, 0.000], [0.750, 0.250, 0.500], [0.250, 0.750, 0.500], [0.284, 0.284, 0.432], [0.716, 0.716, 0.568], [0.284, 0.284, 0.000], [0.716, 0.716, 0.000], [0.716, 0.284, 0.000], [0.284, 0.716, 0.000]]
}

---

The least stable of them is Q).

---

P) {
  "formula": "CsMoSCl2",
  "functional": "PBE-GGA",
  "state": "optimized geometry",
  "dos_at_fermi_per_ev_cell": 2.7,
  "cell": [[5.263, 0.000, 0.000], [0.000, 5.263, 0.000], [0.000, 0.000, 4.658]],
  "species": ["Cs", "Mo", "S", "Cl", "Cl"],
  "frac_coords": [[0.500, 0.500, 0.500], [0.000, 0.000, 0.000], [0.000, 0.000, 0.500], [0.000, 0.500, 0.000], [0.500, 0.000, 0.000]]
}

---

Q) {
  "formula": "CsMoSCl2",
  "functional": "PBE-GGA",
  "state": "optimized geometry",
  "dos_at_fermi_per_ev_cell": 10.2,
  "cell": [[-5.900, -0.886, 1.452], [-0.818, -3.118, -5.226], [1.351, -4.725, 2.608]],
  "species": ["Cs", "Mo", "S", "Cl", "Cl"],
  "frac_coords": [[0.000, 0.000, 0.000], [0.500, 0.500, 0.500], [0.000, 0.000, 0.500], [0.000, 0.500, 0.000], [0.500, 0.000, 0.000]]
}

---

The least stable of them is Q).

---

P) {
  "formula": "CsNCl2",
  "functional": "PBE-GGA",
  "state": "optimized geometry",
  "dos_at_fermi_per_ev_cell": 0.0,
  "cell": [[6.706, 0.000, 0.000], [0.000, 6.706, 0.000], [3.353, 3.353, 4.782]],
  "species": ["Cs", "Cs", "N", "N", "Cl", "Cl", "Cl", "Cl"],
  "frac_coords": [[0.000, 0.000, 0.000], [0.750, 0.250, 0.500], [0.500, 0.500, 0.000], [0.250, 0.750, 0.500], [0.375, 0.125, 0.250], [0.375, 0.625, 0.250], [0.375, 0.625, 0.750], [0.875, 0.625, 0.750]]
}

---

Q) {
  "formula": "CsNCl2",
  "functional": "PBE-GGA",
  "state": "optimized geometry",
  "dos_at_fermi_per_ev_cell": 11.0,
  "cell": [[-0.554, 3.529, 4.606], [2.762, -1.250, 4.978], [4.508, 3.264, 1.730]],
  "species": ["Cs", "N", "Cl", "Cl"],
  "frac_coords": [[0.500, 0.500, 0.500], [0.000, 0.000, 0.000], [0.250, 0.250, 0.250], [0.750, 0.750, 0.750]]
}

---

The least stable of them is Q).

---

P) {
  "formula": "CsNCl2",
  "functional": "PBE-GGA",
  "state": "optimized geometry",
  "dos_at_fermi_per_ev_cell": 0.0,
  "cell": [[3.234, 0.000, 7.084], [-1.617, 2.800, 7.084], [-1.617, -2.800, 7.084]],
  "species": ["Cs", "N", "Cl", "Cl"],
  "frac_coords": [[0.500, 0.500, 0.500], [0.000, 0.000, 0.000], [0.902, 0.902, 0.902], [0.098, 0.098, 0.098]]
}

---

Q) {
  "formula": "CsNCl2",
  "functional": "PBE-GGA",
  "state": "optimized geometry",
  "dos_at_fermi_per_ev_cell": 3.5,
  "cell": [[-3.237, -3.433, 4.017], [1.719, -2.741, 5.285], [-1.657, 1.121, 5.865]],
  "species": ["Cs", "N", "Cl", "Cl"],
  "frac_coords": [[0.000, 0.000, 0.000], [0.500, 0.500, 0.500], [0.786, 0.786, 0.786], [0.214, 0.214, 0.214]]
}

---

The least stable of them is Q).